Compound: Ca2Zr
Source: Alexandria via LeMat-Bulk
Functional: GGA-PBE
Structure: relaxed

Calculated values
The value obtained for the density of states at the Fermi level is 3.95 states/eV/cell. The formation energy is 0.4090 eV/atom.

Cell: 6.2648 6.2648 6.2648 Å, 148.45 130.75 59.67°
Fractional positions:
Ca (0.1615, 0.1615, 0.0000)
Ca (0.8385, 0.8385, 0.0000)
Zr (0.5000, 0.5000, 0.0000)